(1)
Below is SrRuRh2 after structural relaxation, with properties calculated at the PBE level.

Results
VASP energy = -5.935 eV per atom
Formation enthalpy at 0 K = 1.92 eV per formula unit
Crystal system = tetragonal
Total magnetic moment = 0.000 μB/atom
ΔE to the lowest computed polymorph = 249 meV per atom

abc: 4.990 4.990 16.170
angles: 90.00 90.00 90.00
Space group I-42d (No. 122)
Inequivalent atoms, fractional coordinates:
Sr  0.000  0.000  0.000 x4
Ru  0.000  0.000  0.500 x4
Rh  0.072  0.250  0.625 x8

(2)
Below is Sr2RuRh after structural relaxation, with properties calculated at the PBE level.

Results
VASP energy = -4.401 eV per atom
Formation enthalpy at 0 K = 2.39 eV per formula unit
Crystal system = monoclinic
Total magnetic moment = 0.000 μB/atom

abc: 9.305 3.391 6.088
angles: 90.00 101.32 90.00
Space group C2/m (No. 12)
Inequivalent atoms, fractional coordinates:
Sr  0.250  0.000  0.250 x4
Ru  0.000  0.000  0.500 x2
Rh  0.000  0.500  0.000 x2

(3)
Below is SrRuRh2 after structural relaxation, with properties calculated at the PBE level.

Results
VASP energy = -6.055 eV per atom
Formation enthalpy at 0 K = 1.44 eV per formula unit
Crystal system = orthorhombic
Total magnetic moment = 0.000 μB/atom
ΔE to the lowest computed polymorph = 129 meV per atom

abc: 2.887 4.818 10.286
angles: 90.00 90.00 90.00
Space group Imm2 (No. 44)
Inequivalent atoms, fractional coordinates:
Sr  0.000  0.000  0.000 x2
Ru  0.000  0.500  0.782 x2
Rh  0.000  0.000  0.496 x2
Rh  0.000  0.500  0.224 x2

(4)
Below is SrRuRh2 after structural relaxation, with properties calculated at the PBE level.

Results
VASP energy = -6.184 eV per atom
Formation enthalpy at 0 K = 0.93 eV per formula unit
Crystal system = orthorhombic
Total magnetic moment = 0.000 μB/atom
ΔE to the lowest computed polymorph = 0 meV per atom

abc: 2.886 3.650 7.027
angles: 90.00 90.00 90.00
Space group Pmmm (No. 47)
Inequivalent atoms, fractional coordinates:
Sr  0.000  0.000  0.000 x1
Ru  0.000  0.000  0.500 x1
Rh  0.500  0.500  0.313 x2

(5)
Below is Sr2RuRh after structural relaxation, with properties calculated at the PBE level.

Results
VASP energy = -4.571 eV per atom
Formation enthalpy at 0 K = 1.71 eV per formula unit
Crystal system = tetragonal
Total magnetic moment = 0.303 μB/atom

abc: 3.584 3.584 7.413
angles: 90.00 90.00 90.00
Space group P4/mmm (No. 123)
Inequivalent atoms, fractional coordinates:
Sr  0.000  0.000  0.245 x2
Ru  0.500  0.500  0.500 x1
Rh  0.500  0.500  0.000 x1

(6)
Below is SrRuRh2 after structural relaxation, with properties calculated at the PBE level.

Results
VASP energy = -5.917 eV per atom
Formation enthalpy at 0 K = 1.99 eV per formula unit
Crystal system = tetragonal
Total magnetic moment = 0.263 μB/atom
ΔE to the lowest computed polymorph = 267 meV per atom

abc: 4.239 4.239 3.965
angles: 90.00 90.00 90.00
Space group P4/mmm (No. 123)
Inequivalent atoms, fractional coordinates:
Sr  0.000  0.000  0.000 x1
Ru  0.500  0.500  0.000 x1
Rh  0.000  0.500  0.500 x2

(7)
Below is SrRuRh2 after structural relaxation, with properties calculated at the PBE level.

Results
VASP energy = -6.128 eV per atom
Formation enthalpy at 0 K = 1.15 eV per formula unit
Crystal system = monoclinic
Total magnetic moment = 0.000 μB/atom
ΔE to the lowest computed polymorph = 56 meV per atom

abc: 9.286 2.934 5.595
angles: 90.00 100.65 90.00
Space group Cm (No. 8)
Inequivalent atoms, fractional coordinates:
Sr  0.000  0.000  0.000 x2
Ru  0.267  0.500  0.350 x2
Rh  0.234  0.000  0.709 x2
Rh  0.499  0.000  0.486 x2

(8)
Below is SrRuRh2 after structural relaxation, with properties calculated at the PBE level.

Results
VASP energy = -6.174 eV per atom
Formation enthalpy at 0 K = 0.96 eV per formula unit
Crystal system = tetragonal
Total magnetic moment = 0.000 μB/atom
ΔE to the lowest computed polymorph = 9 meV per atom

abc: 2.971 2.971 8.064
angles: 90.00 90.00 90.00
Space group P4/mmm (No. 123)
Inequivalent atoms, fractional coordinates:
Sr  0.000  0.000  0.000 x1
Ru  0.000  0.000  0.500 x1
Rh  0.500  0.500  0.297 x2

(9)
Below is SrRuRh4 after structural relaxation, with properties calculated at the PBE level.

Results
VASP energy = -6.441 eV per atom
Formation enthalpy at 0 K = 1.72 eV per formula unit
Crystal system = cubic
Total magnetic moment = 0.659 μB/atom

abc: 7.474 7.474 7.474
angles: 90.00 90.00 90.00
Space group F-43m (No. 216)
Inequivalent atoms, fractional coordinates:
Sr  0.000  0.000  0.000 x4
Ru  0.250  0.250  0.250 x4
Rh  0.124  0.124  0.624 x16

(10)
Below is SrRuRh after structural relaxation, with properties calculated at the PBE level.

Results
VASP energy = -4.635 eV per atom
Formation enthalpy at 0 K = 4.40 eV per formula unit
Crystal system = cubic
Total magnetic moment = 0.754 μB/atom
ΔE to the lowest computed polymorph = 1265 meV per atom

abc: 6.546 6.546 6.546
angles: 90.00 90.00 90.00
Space group F-43m (No. 216)
Inequivalent atoms, fractional coordinates:
Sr  0.000  0.000  0.000 x4
Ru  0.250  0.250  0.750 x4
Rh  0.250  0.250  0.250 x4

(11)
Below is SrRuRh2 after structural relaxation, with properties calculated at the PBE level.

Results
VASP energy = -5.823 eV per atom
Formation enthalpy at 0 K = 2.37 eV per formula unit
Crystal system = trigonal
Total magnetic moment = 0.000 μB/atom
ΔE to the lowest computed polymorph = 361 meV per atom

abc: 2.9025 2.9025 28.3270
angles: 90.00 90.00 120.00
Space group R-3m (No. 166, hexagonal axes)
Inequivalent atoms, fractional coordinates:
Sr  0.0000  0.0000  0.0000 x3
Ru  0.0000  0.0000  0.5000 x3
Rh  0.0000  0.0000  0.2401 x6

(12)
Below is SrRuRh after structural relaxation, with properties calculated at the PBE level.

Results
VASP energy = -5.900 eV per atom
Formation enthalpy at 0 K = 0.61 eV per formula unit
Crystal system = hexagonal
Total magnetic moment = 0.000 μB/atom
ΔE to the lowest computed polymorph = 0 meV per atom

abc: 4.1744 4.1744 4.8101
angles: 90.00 90.00 120.00
Space group P-6m2 (No. 187)
Inequivalent atoms, fractional coordinates:
Sr  0.0000  0.0000  0.0000 x1
Ru  0.3333  0.6667  0.5000 x1
Rh  0.6667  0.3333  0.5000 x1

(13)
Below is SrRuRh2 after structural relaxation, with properties calculated at the PBE level.

Results
VASP energy = -5.855 eV per atom
Formation enthalpy at 0 K = 2.24 eV per formula unit
Crystal system = orthorhombic
Total magnetic moment = 0.351 μB/atom
ΔE to the lowest computed polymorph = 328 meV per atom

abc: 2.947 4.804 4.992
angles: 90.00 90.00 90.00
Space group Pmmm (No. 47)
Inequivalent atoms, fractional coordinates:
Sr  0.000  0.000  0.000 x1
Ru  0.500  0.000  0.500 x1
Rh  0.000  0.500  0.500 x1
Rh  0.500  0.500  0.000 x1

(14)
Below is SrRuRh2 after structural relaxation, with properties calculated at the PBE level.

Results
VASP energy = -5.903 eV per atom
Formation enthalpy at 0 K = 2.05 eV per formula unit
Crystal system = tetragonal
Total magnetic moment = 0.000 μB/atom
ΔE to the lowest computed polymorph = 280 meV per atom

abc: 4.136 4.136 8.256
angles: 90.00 90.00 90.00
Space group I-4m2 (No. 119)
Inequivalent atoms, fractional coordinates:
Sr  0.000  0.000  0.000 x2
Ru  0.000  0.500  0.250 x2
Rh  0.000  0.000  0.500 x2
Rh  0.000  0.500  0.750 x2

(15)
Below is SrRuRh2 after structural relaxation, with properties calculated at the PBE level.

Results
VASP energy = -6.054 eV per atom
Formation enthalpy at 0 K = 1.44 eV per formula unit
Crystal system = tetragonal
Total magnetic moment = 0.000 μB/atom
ΔE to the lowest computed polymorph = 130 meV per atom

abc: 3.029 3.029 7.922
angles: 90.00 90.00 90.00
Space group P4mm (No. 99)
Inequivalent atoms, fractional coordinates:
Sr  0.000  0.000  0.000 x1
Ru  0.500  0.500  0.690 x1
Rh  0.000  0.000  0.504 x1
Rh  0.500  0.500  0.295 x1

(16)
Below is Sr2RuRh after structural relaxation, with properties calculated at the PBE level.

Results
VASP energy = -4.455 eV per atom
Formation enthalpy at 0 K = 2.17 eV per formula unit
Crystal system = cubic
Total magnetic moment = 0.536 μB/atom

abc: 7.163 7.163 7.163
angles: 90.00 90.00 90.00
Space group F-43m (No. 216)
Inequivalent atoms, fractional coordinates:
Sr  0.000  0.000  0.000 x4
Sr  0.250  0.250  0.250 x4
Ru  0.250  0.250  0.750 x4
Rh  0.000  0.000  0.500 x4

(17)
Below is SrRuRh after structural relaxation, with properties calculated at the PBE level.

Results
VASP energy = -5.276 eV per atom
Formation enthalpy at 0 K = 2.48 eV per formula unit
Crystal system = trigonal
Total magnetic moment = 0.353 μB/atom
ΔE to the lowest computed polymorph = 624 meV per atom

abc: 3.1917 3.1917 6.8674
angles: 90.00 90.00 120.00
Space group P3m1 (No. 156)
Inequivalent atoms, fractional coordinates:
Sr  0.0000  0.0000  0.0000 x1
Ru  0.3333  0.6667  0.6312 x1
Rh  0.6667  0.3333  0.3658 x1

(18)
Below is SrRuRh2 after structural relaxation, with properties calculated at the PBE level.

Results
VASP energy = -6.085 eV per atom
Formation enthalpy at 0 K = 1.32 eV per formula unit
Crystal system = orthorhombic
Total magnetic moment = 0.001 μB/atom
ΔE to the lowest computed polymorph = 98 meV per atom

abc: 2.848 3.884 6.725
angles: 90.00 90.00 90.00
Space group Pmm2 (No. 25)
Inequivalent atoms, fractional coordinates:
Sr  0.000  0.000  0.000 x1
Ru  0.500  0.500  0.668 x1
Rh  0.000  0.000  0.511 x1
Rh  0.500  0.500  0.292 x1

(19)
Below is Sr2RuRh after structural relaxation, with properties calculated at the PBE level.

Results
VASP energy = -4.954 eV per atom
Formation enthalpy at 0 K = 0.18 eV per formula unit
Crystal system = orthorhombic
Total magnetic moment = 0.000 μB/atom

abc: 4.388 4.801 10.721
angles: 90.00 90.00 90.00
Space group Amm2 (No. 38)
Inequivalent atoms, fractional coordinates:
Sr  0.000  0.000  0.000 x2
Sr  0.500  0.000  0.286 x2
Ru  0.500  0.000  0.600 x2
Rh  0.000  0.000  0.689 x2

(20)
Below is SrRuRh2 after structural relaxation, with properties calculated at the PBE level.

Results
VASP energy = -5.963 eV per atom
Formation enthalpy at 0 K = 1.81 eV per formula unit
Crystal system = cubic
Total magnetic moment = 0.939 μB/atom
ΔE to the lowest computed polymorph = 220 meV per atom

abc: 6.637 6.637 6.637
angles: 90.00 90.00 90.00
Space group Fm-3m (No. 225)
Inequivalent atoms, fractional coordinates:
Sr  0.000  0.000  0.000 x4
Ru  0.000  0.000  0.500 x4
Rh  0.250  0.250  0.250 x8

(21)
Below is Sr4RuRh after structural relaxation, with properties calculated at the PBE level.

Results
VASP energy = -2.644 eV per atom
Formation enthalpy at 0 K = 7.49 eV per formula unit
Crystal system = cubic
Total magnetic moment = 0.181 μB/atom

abc: 9.067 9.067 9.067
angles: 90.00 90.00 90.00
Space group F-43m (No. 216)
Inequivalent atoms, fractional coordinates:
Sr  0.125  0.125  0.125 x16
Ru  0.000  0.000  0.500 x4
Rh  0.250  0.250  0.750 x4

(22)
Below is SrRuRh2 after structural relaxation, with properties calculated at the PBE level.

Results
VASP energy = -6.111 eV per atom
Formation enthalpy at 0 K = 1.22 eV per formula unit
Crystal system = monoclinic
Total magnetic moment = 0.000 μB/atom
ΔE to the lowest computed polymorph = 73 meV per atom

abc: 2.893 4.401 5.959
angles: 90.00 103.77 90.00
Space group Pm (No. 6)
Inequivalent atoms, fractional coordinates:
Sr  0.000  0.000  0.000 x1
Ru  0.310  0.500  0.632 x1
Rh  0.624  0.500  0.254 x1
Rh  0.745  0.000  0.504 x1

(23)
Below is SrRuRh2 after structural relaxation, with properties calculated at the PBE level.

Results
VASP energy = -6.042 eV per atom
Formation enthalpy at 0 K = 1.49 eV per formula unit
Crystal system = orthorhombic
Total magnetic moment = 0.000 μB/atom
ΔE to the lowest computed polymorph = 142 meV per atom

abc: 5.963 8.025 2.878
angles: 90.00 90.00 90.00
Space group Cmmm (No. 65)
Inequivalent atoms, fractional coordinates:
Sr  0.000  0.000  0.000 x2
Ru  0.000  0.500  0.000 x2
Rh  0.250  0.250  0.500 x4

(24)
Below is Sr2RuRh after structural relaxation, with properties calculated at the PBE level.

Results
VASP energy = -4.407 eV per atom
Formation enthalpy at 0 K = 2.36 eV per formula unit
Crystal system = trigonal
Total magnetic moment = 0.034 μB/atom

abc: 3.4617 3.4617 27.3353
angles: 90.00 90.00 120.00
Space group R-3m (No. 166, hexagonal axes)
Inequivalent atoms, fractional coordinates:
Sr  0.0000  0.0000  0.2492 x6
Ru  0.0000  0.0000  0.0000 x3
Rh  0.0000  0.0000  0.5000 x3

(25)
Below is Ta5Ru4Rh after structural relaxation, with properties calculated at the PBE level.

Results
VASP energy = -10.707 eV per atom
Formation enthalpy at 0 K = -3.35 eV per formula unit
Crystal system = tetragonal
Total magnetic moment = 0.000 μB/atom

abc: 3.024 3.024 17.621
angles: 90.00 90.00 90.00
Space group P4/mmm (No. 123)
Inequivalent atoms, fractional coordinates:
Ta  0.000  0.000  0.000 x1
Ta  0.000  0.000  0.198 x2
Ta  0.000  0.000  0.395 x2
Ru  0.500  0.500  0.105 x2
Ru  0.500  0.500  0.293 x2
Rh  0.500  0.500  0.500 x1

(26)
Below is Ta2RuRh after structural relaxation, with properties calculated at the PBE level.

Results
VASP energy = -10.204 eV per atom
Formation enthalpy at 0 K = -0.49 eV per formula unit
Crystal system = monoclinic
Total magnetic moment = 0.000 μB/atom

abc: 9.074 2.892 5.015
angles: 90.00 100.32 90.00
Space group C2/m (No. 12)
Inequivalent atoms, fractional coordinates:
Ta  0.248  0.000  0.251 x4
Ru  0.000  0.000  0.500 x2
Rh  0.000  0.500  0.000 x2

(27)
Below is Ta2RuRh after structural relaxation, with properties calculated at the PBE level.

Results
VASP energy = -10.179 eV per atom
Formation enthalpy at 0 K = -0.38 eV per formula unit
Crystal system = trigonal
Total magnetic moment = 0.007 μB/atom

abc: 2.8711 2.8711 27.1013
angles: 90.00 90.00 120.00
Space group R-3m (No. 166, hexagonal axes)
Inequivalent atoms, fractional coordinates:
Ta  0.0000  0.0000  0.2502 x6
Ru  0.0000  0.0000  0.0000 x3
Rh  0.0000  0.0000  0.5000 x3

(28)
Below is Ta2RuRh after structural relaxation, with properties calculated at the PBE level.

Results
VASP energy = -10.451 eV per atom
Formation enthalpy at 0 K = -1.47 eV per formula unit
Crystal system = monoclinic
Total magnetic moment = 0.000 μB/atom

abc: 2.946 4.529 4.898
angles: 90.00 96.88 90.00
Space group Pm (No. 6)
Inequivalent atoms, fractional coordinates:
Ta  0.000  0.000  0.000 x1
Ta  0.147  0.500  0.589 x1
Ru  0.618  0.000  0.495 x1
Rh  0.533  0.500  0.113 x1

(29)
Below is Ta2RuRh2 after structural relaxation, with properties calculated at the PBE level.

Results
VASP energy = -9.733 eV per atom
Formation enthalpy at 0 K = -0.98 eV per formula unit
Crystal system = tetragonal
Total magnetic moment = 0.000 μB/atom

abc: 7.258 7.258 3.079
angles: 90.00 90.00 90.00
Space group P4/mbm (No. 127)
Inequivalent atoms, fractional coordinates:
Ta  0.174  0.326  0.000 x4
Ru  0.000  0.000  0.500 x2
Rh  0.129  0.629  0.500 x4

(30)
Below is Ta2RuRh after structural relaxation, with properties calculated at the PBE level.

Results
VASP energy = -10.379 eV per atom
Formation enthalpy at 0 K = -1.19 eV per formula unit
Crystal system = tetragonal
Total magnetic moment = 0.000 μB/atom

abc: 3.888 3.888 8.507
angles: 90.00 90.00 90.00
Space group I-4m2 (No. 119)
Inequivalent atoms, fractional coordinates:
Ta  0.000  0.000  0.000 x2
Ta  0.000  0.500  0.250 x2
Ru  0.000  0.000  0.500 x2
Rh  0.000  0.500  0.750 x2